5
Lattice="-4.286 1.390 0.641 0.537 -0.418 4.500 1.433 4.313 0.229" Properties=species:S:1:pos:R:3 comment="Si3RhC (PBE-GGA, relaxed)" mass_density_g_cm3=3.51 polymorph_energy_mev_per_atom=895 e_form_raw_ev_per_atom=1.49 dos_ef_per_ev_atom=0.413 spacegroup="Pm-3m (221)" e_tot_ev_per_atom=-5.08 total_magnetization_mub_per_atom=0.205 pbc="T T T"
Si 0.269 -0.209 2.250
Si 0.716 2.157 0.115
Si -2.143 0.695 0.320
Rh 0.000 0.000 0.000
C -1.158 2.643 2.685

---

10
Lattice="4.122 0.000 0.000 0.000 8.125 0.646 0.000 -1.131 8.597" Properties=species:S:1:pos:R:3 comment="LiUTe3 (PBE-GGA, relaxed)" mass_density_g_cm3=7.17 polymorph_energy_mev_per_atom=0 e_form_raw_ev_per_atom=-0.68 dos_ef_per_ev_atom=0.988 spacegroup="P2_1/m (11)" e_tot_ev_per_atom=-5.20 total_magnetization_mub_per_atom=0.261 pbc="T T T"
Li 1.031 6.699 3.364
Li 3.092 0.295 5.879
U 1.031 2.784 2.247
U 3.092 4.210 6.996
Te 3.092 4.570 3.643
Te 1.031 2.424 5.600
Te 3.092 1.376 8.568
Te 1.031 6.406 6.319
Te 1.031 5.618 0.675
Te 3.092 0.588 2.923

---

12
Lattice="4.643 0.000 0.000 -2.321 7.784 -0.213 0.000 -3.753 6.521" Properties=species:S:1:pos:R:3 comment="TmHf3Co2 (PBE-GGA, relaxed)" mass_density_g_cm3=11.77 delta_e_f_ev_per_atom=-0.170 dos_ef_per_ev_atom=0.783 spacegroup="C2/m (12)" e_tot_ev_per_atom=-8.26 total_magnetization_mub_per_atom=0.000 pbc="T T T"
Tm 2.321 2.039 5.965
Tm 0.000 1.992 0.343
Hf 0.000 2.530 3.784
Hf 2.321 4.581 3.780
Hf 2.321 -1.012 4.584
Hf 0.000 5.043 1.724
Hf 0.000 -0.550 2.528
Hf 2.321 1.501 2.524
Co 0.000 4.445 5.255
Co 2.321 -0.414 1.052
Co 2.321 3.768 1.364
Co 0.000 0.263 4.944